Material: Cs3Rb5Se4O16
Method: DFT, PBE-GGA
State: relaxed

Output
Theoretical density: 3.9 g cm⁻³
Formation energy without anion corrections: -39.44 eV per formula unit
Magnetic moment: 0.55 μB per formula unit
V: 596.66 Å³ per cell

Geometry as CIF:
```
data_Cs3Rb5Se4O16
_symmetry_space_group_name_H-M 'P 1 m 1'
_symmetry_Int_Tables_number 6
_cell_length_a 8.3623
_cell_length_b 6.4048
_cell_length_c 11.1404
_cell_angle_alpha 90.00
_cell_angle_beta 90.07
_cell_angle_gamma 90.00
loop_
_symmetry_equiv_pos_as_xyz
'x,y,z'
'x,-y,z'
loop_
_atom_site_label
_atom_site_type_symbol
_atom_site_fract_x
_atom_site_fract_y
_atom_site_fract_z
Cs1 Cs 0.0000 0.0000 0.0000
Cs2 Cs 0.1671 0.5000 0.4991
Cs3 Cs 0.5041 0.0000 0.6700
Rb1 Rb 0.3319 0.5000 0.8823
Rb2 Rb 0.3339 0.0000 0.2890
Rb3 Rb 0.6525 0.5000 0.1665
Rb4 Rb 0.8329 0.5000 0.7884
Rb5 Rb 0.8357 0.0000 0.3792
Se1 Se 0.0600 0.0000 0.6673
Se2 Se 0.1069 0.5000 0.1664
Se3 Se 0.5586 0.0000 0.0068
Se4 Se 0.6123 0.5000 0.4989
O1 O 0.0246 0.5000 0.0285
O2 O 0.0477 0.2852 0.2408
O3 O 0.1211 0.2149 0.7410
O4 O 0.1398 0.0000 0.5287
O5 O 0.3071 0.5000 0.1563
O6 O 0.3586 0.0000 0.0133
O7 O 0.5275 0.5000 0.6360
O8 O 0.5539 0.2859 0.4232
O9 O 0.6204 0.2157 0.9340
O10 O 0.6372 0.0000 0.1460
O11 O 0.8117 0.5000 0.5123
O12 O 0.8600 0.0000 0.6596
```